{
  "formula": "YCrPt",
  "functional": "PBE",
  "state": "optimized geometry",
  "total_magnetization_mub_per_cell": 3.19,
  "polymorph_energy_ev_per_atom": 0.0000,
  "total_energy_ev_per_cell": -23.3,
  "n_ef_per_ev_fu": 2.8,
  "spacegroup": "P-6m2 (187)",
  "formation_energy_ev_per_fu": -1.2,
  "lattice_angstrom": [[4.341, 0.000, 0.000], [-2.171, 3.759, 0.000], [0.000, 0.000, 3.820]],
  "species": ["Y", "Cr", "Pt"],
  "frac_coords": [[0.000, 0.000, 0.000], [0.667, 0.333, 0.500], [0.333, 0.667, 0.500]]
}